(1)
VASP calculation (PBE-GGA) on CeTmRu4 after structural relaxation.

Calculated values
volume: 17.92 Å³/atom
calculated total energy: -8.217 eV per atom
total magnetic moment: 0.00 μB/atom
mass density: 11.016 g/cm³
formation enthalpy at 0 K: -0.299 eV/atom
N(E_F): 4.58 states/eV/f.u.

Unit cell a=7.5485 b=7.5485 c=7.5485 alpha=90.00 beta=90.00 gamma=90.00
Space group F-43m (No. 216)
Asymmetric unit:
Ce  0.0000  0.0000  0.0000 x4
Tm  0.2500  0.2500  0.2500 x4
Ru  0.1248  0.1248  0.6248 x16


(2)
VASP calculation (PBE-GGA) on Ce3Tm2Ru4 after structural relaxation.

Calculated values
volume: 23.03 Å³/atom
calculated total energy: -7.477 eV per atom
total magnetic moment: 0.00 μB/atom
mass density: 9.311 g/cm³
formation enthalpy at 0 K: -0.383 eV/atom
N(E_F): 8.51 states/eV/f.u.

Unit cell a=10.3495 b=9.7296 c=8.3465 alpha=90.00 beta=99.37 gamma=90.00
Space group C2/c (No. 15)
Asymmetric unit:
Ce  0.0000  0.1389  0.2500 x4
Ce  0.1950  0.1529  0.6626 x8
Tm  0.0937  0.3746  0.9428 x8
Ru  0.1140  0.0909  0.0235 x8
Ru  0.2006  0.3964  0.6508 x8


(3)
VASP calculation (PBE-GGA) on Ce5TmRu6 after structural relaxation.

Calculated values
volume: 20.32 Å³/atom
calculated total energy: -7.824 eV per atom
total magnetic moment: 0.00 μB/atom
mass density: 10.051 g/cm³
formation enthalpy at 0 K: -0.341 eV/atom
N(E_F): 10.83 states/eV/f.u.

Unit cell a=8.2876 b=14.4368 c=4.9373 alpha=90.00 beta=124.36 gamma=90.00
Space group C2/m (No. 12)
Asymmetric unit:
Ce  0.0000  0.0000  0.0000 x2
Ce  0.0000  0.1684  0.5000 x4
Ce  0.0000  0.3370  0.0000 x4
Tm  0.0000  0.5000  0.5000 x2
Ru  0.2382  0.1668  0.2089 x8
Ru  0.2504  0.0000  0.7648 x4


(4)
VASP calculation (PBE-GGA) on CeTm2Ru3 after structural relaxation.

Calculated values
volume: 20.70 Å³/atom
E above lowest polymorph: 410 meV per atom
calculated total energy: -7.160 eV per atom
total magnetic moment: 0.00 μB/atom
mass density: 10.446 g/cm³
formation enthalpy at 0 K: -0.042 eV/atom
N(E_F): 6.40 states/eV/f.u.

Unit cell a=3.3007 b=5.5229 c=13.6250 alpha=90.00 beta=90.00 gamma=90.00
Space group Immm (No. 71)
Asymmetric unit:
Ce  0.0000  0.0000  0.0000 x2
Tm  0.0000  0.0000  0.3312 x4
Ru  0.0000  0.5000  0.0000 x2
Ru  0.0000  0.5000  0.3432 x4


(5)
VASP calculation (PBE-GGA) on CeTmRu after structural relaxation.

Calculated values
volume: 21.95 Å³/atom
E above lowest polymorph: 277 meV per atom
calculated total energy: -6.678 eV per atom
total magnetic moment: 0.00 μB/atom
mass density: 10.342 g/cm³
formation enthalpy at 0 K: -0.117 eV/atom
N(E_F): 5.00 states/eV/f.u.

Unit cell a=4.7272 b=4.7272 c=3.4027 alpha=90.00 beta=90.00 gamma=120.00
Space group P3m1 (No. 156)
Asymmetric unit:
Ce  0.0000  0.0000  0.0000 x1
Tm  0.3333  0.6667  0.4158 x1
Ru  0.6667  0.3333  0.7186 x1


(6)
VASP calculation (PBE-GGA) on Ce3TmRu4 after structural relaxation.

Calculated values
volume: 20.21 Å³/atom
calculated total energy: -7.780 eV per atom
total magnetic moment: 0.00 μB/atom
mass density: 10.204 g/cm³
formation enthalpy at 0 K: -0.358 eV/atom
N(E_F): 7.05 states/eV/f.u.

Unit cell a=4.9051 b=4.9051 c=23.2785 alpha=90.00 beta=90.00 gamma=120.00
Space group R-3m (No. 166, hexagonal axes)
Asymmetric unit:
Ce  0.0000  0.0000  0.0000 x3
Ce  0.0000  0.0000  0.2483 x6
Tm  0.0000  0.0000  0.5000 x3
Ru  0.0000  0.0000  0.1252 x6
Ru  0.0000  0.0000  0.3725 x6